[1]
## Nb4CoNi (PBE-GGA)

Data for Nb4CoNi after structural relaxation.

Lattice parameters (Å, degrees): 4.9367 6.2011 6.2011 90.00 90.00 90.00
Closest atoms and distances in Å follow each position.
Fractional coordinates of all 12 atoms:
Nb (0.0000, 0.3443, 0.1614)  2 Co 2.62, 2 Ni 2.66, 1 Nb 2.78
Nb (0.0000, 0.8386, 0.3443)  2 Co 2.62, 2 Ni 2.66, 1 Nb 2.78
Nb (0.5000, 0.8386, 0.6557)  2 Co 2.62, 2 Ni 2.66, 1 Nb 2.78
Nb (0.5000, 0.1614, 0.3443)  2 Co 2.62, 2 Ni 2.66, 1 Nb 2.78
Nb (0.0000, 0.6557, 0.8386)  2 Co 2.62, 2 Ni 2.66, 1 Nb 2.78
Nb (0.5000, 0.3443, 0.8386)  2 Co 2.62, 2 Ni 2.66, 1 Nb 2.78
Nb (0.0000, 0.1614, 0.6557)  2 Co 2.62, 2 Ni 2.66, 1 Nb 2.78
Nb (0.5000, 0.6557, 0.1614)  2 Co 2.62, 2 Ni 2.66, 1 Nb 2.78
Ni (0.7500, 0.0000, 0.0000)  2 Ni 2.47, 8 Nb 2.66
Ni (0.2500, 0.0000, 0.0000)  2 Ni 2.47, 8 Nb 2.66
Co (0.7500, 0.5000, 0.5000)  2 Co 2.47, 8 Nb 2.62
Co (0.2500, 0.5000, 0.5000)  2 Co 2.47, 8 Nb 2.62



[2]
## K2PtW (PBE-GGA)

Data for K2PtW after structural relaxation.

Results
Relative energy among the computed polymorphs ... 394.0 meV/atom

Lattice parameters (Å, degrees): 11.8004 11.8004 11.8004 14.15 14.15 14.15
Closest atoms and distances in Å follow each position.
Fractional coordinates of all 4 atoms:
K (0.9944, 0.9944, 0.9944)  6 K 2.91, 3 Pt 3.20
K (0.5056, 0.5056, 0.5056)  6 K 2.91, 3 Pt 3.20
W (0.7500, 0.7500, 0.7500)  6 W 2.91
Pt (0.2500, 0.2500, 0.2500)  6 Pt 2.91, 6 K 3.20



[3]
## Zr3NbBi (PBE-GGA)

Data for Zr3NbBi after structural relaxation.

Results
Relative energy among the computed polymorphs ... 0.0 meV/atom

Lattice parameters (Å, degrees): 3.6845 5.8680 11.1999 93.96 90.00 108.30
Closest atoms and distances in Å follow each position.
Fractional coordinates of all 10 atoms:
Zr (0.7503, 0.5006, 0.2794)  3 Nb 2.91-3.09, 2 Bi 3.04, 5 Zr 3.18-3.25
Zr (0.4321, 0.8643, 0.1351)  5 Bi 3.06-3.24, 4 Zr 3.22-3.25
Zr (0.0353, 0.0706, 0.3546)  4 Nb 2.99-3.17, 5 Zr 3.18-3.23, 1 Bi 3.33
Zr (0.5679, 0.1357, 0.8649)  5 Bi 3.06-3.24, 4 Zr 3.22-3.25
Zr (0.2497, 0.4994, 0.7206)  3 Nb 2.91-3.09, 2 Bi 3.04, 5 Zr 3.18-3.25
Zr (0.9647, 0.9294, 0.6454)  4 Nb 2.99-3.17, 5 Zr 3.18-3.23, 1 Bi 3.33
Bi (0.8583, 0.7165, 0.9154)  8 Zr 3.04-3.33
Bi (0.1417, 0.2835, 0.0846)  8 Zr 3.04-3.33
Nb (0.3405, 0.6811, 0.4663)  2 Nb 2.87, 7 Zr 2.91-3.17
Nb (0.6595, 0.3189, 0.5337)  2 Nb 2.87, 7 Zr 2.91-3.17



[4]
## Co2TcRh (PBE-GGA)

Data for Co2TcRh after structural relaxation.

Results
Relative energy among the computed polymorphs ... 10.4 meV/atom

Lattice parameters (Å, degrees): 4.5493 4.5493 4.5481 132.57 132.58 69.34
Closest atoms and distances in Å follow each position.
Fractional coordinates of all 4 atoms:
Rh (0.5000, 0.5000, 0.0000)  8 Co 2.59-2.62, 4 Tc 2.62
Tc (0.2500, 0.7500, 0.5000)  8 Co 2.59-2.62, 4 Rh 2.62
Co (0.7500, 0.2500, 0.5000)  4 Tc 2.59, 4 Rh 2.62, 4 Co 2.62
Co (0.0000, 0.0000, 0.0000)  4 Rh 2.59, 4 Tc 2.62, 4 Co 2.62



How do the records compare in E? In the order shown, they have -108.4; -17.5; -80.5; -31.8 eV for the cell shown.